1.
YTlHg4 | PBE | optimized geometry

a = 6.039 Å, b = 6.039 Å, c = 6.039 Å
α = 60.00°, β = 60.00°, γ = 60.00°
Fractional coordinates of all 6 atoms:
Hg: 0.375 0.375 0.876
Hg: 0.876 0.375 0.375
Hg: 0.375 0.375 0.375
Hg: 0.375 0.876 0.375
Y: 0.000 0.000 0.000
Tl: 0.750 0.750 0.750

Values from the calculation:
Electronic total energy (eV/atom): -1.737
ΔE to the lowest computed polymorph (meV/atom): 123
Spin magnetization (μB/cell): 0.00
Formation energy (eV per atom): -0.0641

2.
La2Ho9Er | PBE | optimized geometry

a = 3.471 Å, b = 11.305 Å, c = 11.305 Å
α = 120.00°, β = 90.00°, γ = 90.00°
Fractional coordinates of all 12 atoms:
Ho: 0.500 0.829 0.658
Ho: 0.500 0.342 0.171
Ho: 0.500 0.829 0.171
Ho: 0.000 0.000 0.500
Ho: 0.500 0.658 0.829
Ho: 0.000 0.500 0.000
Ho: 0.000 0.500 0.500
Ho: 0.500 0.171 0.342
Ho: 0.500 0.171 0.829
La: 0.000 0.333 0.667
La: 0.000 0.667 0.333
Er: 0.000 0.000 0.000

Values from the calculation:
Electronic total energy (eV/atom): -4.541
ΔE to the lowest computed polymorph (meV/atom): 62
Spin magnetization (μB/cell): 0.00
Formation energy (eV per atom): 0.0941

3.
LiPm7Sn4 | PBE | optimized geometry

a = 5.548 Å, b = 9.455 Å, c = 8.143 Å
α = 79.89°, β = 70.08°, γ = 72.94°
Fractional coordinates of all 12 atoms:
Pm: 0.210 0.134 0.446
Pm: 0.651 0.421 0.277
Pm: 0.790 0.866 0.554
Pm: 0.500 0.000 0.000
Pm: 0.080 0.675 0.164
Pm: 0.349 0.579 0.723
Pm: 0.920 0.325 0.836
Sn: 0.575 0.217 0.634
Sn: 0.711 0.664 0.913
Sn: 0.425 0.783 0.366
Sn: 0.289 0.336 0.087
Li: 0.000 0.000 0.000

Values from the calculation:
Electronic total energy (eV/atom): -4.608
Spin magnetization (μB/cell): 0.00
Formation energy (eV per atom): -0.3435

4.
Pm3Nd2Dy7 | PBE | optimized geometry

a = 3.546 Å, b = 6.382 Å, c = 18.089 Å
α = 75.69°, β = 90.00°, γ = 90.00°
Fractional coordinates of all 12 atoms:
Dy: 0.500 0.061 0.165
Dy: 0.000 0.436 0.836
Dy: 0.500 0.755 0.500
Dy: 0.000 0.564 0.164
Dy: 0.500 0.245 0.500
Dy: 0.500 0.939 0.835
Dy: 0.000 0.000 0.000
Nd: 0.500 0.617 0.327
Nd: 0.500 0.383 0.673
Pm: 0.000 0.113 0.341
Pm: 0.000 0.887 0.659
Pm: 0.500 0.500 0.000

Values from the calculation:
Electronic total energy (eV/atom): -4.585
ΔE to the lowest computed polymorph (meV/atom): 0
Spin magnetization (μB/cell): 0.00
Formation energy (eV per atom): 0.0818

5.
CdIn4Hg3 | PBE | optimized geometry

a = 3.689 Å, b = 5.005 Å, c = 11.545 Å
α = 90.00°, β = 90.00°, γ = 90.00°
Fractional coordinates of all 8 atoms:
Hg: 0.000 0.000 0.403
Hg: 0.000 0.500 0.599
Hg: 0.500 0.000 0.904
In: 0.000 0.500 0.862
In: 0.500 0.500 0.359
In: 0.000 0.000 0.139
In: 0.500 0.000 0.640
Cd: 0.500 0.500 0.094

Values from the calculation:
Electronic total energy (eV/atom): -1.577
Spin magnetization (μB/cell): 0.00
Formation energy (eV per atom): 0.0195

6.
Pa4Ni3Sb8 | PBE | optimized geometry

a = 4.380 Å, b = 4.380 Å, c = 18.033 Å
α = 90.00°, β = 90.00°, γ = 90.00°
Fractional coordinates of all 15 atoms:
Ni: 0.500 0.500 0.500
Ni: 0.000 0.000 0.000
Ni: 0.000 0.000 0.500
Sb: 0.500 0.000 0.579
Sb: 0.500 0.000 0.074
Sb: 0.000 0.000 0.753
Sb: 0.000 0.500 0.926
Sb: 0.000 0.000 0.247
Sb: 0.500 0.500 0.247
Sb: 0.000 0.500 0.421
Sb: 0.500 0.500 0.753
Pa: 0.500 0.000 0.384
Pa: 0.000 0.500 0.616
Pa: 0.000 0.500 0.113
Pa: 0.500 0.000 0.887

Values from the calculation:
E_form (uncorrected) (meV per atom): -564
Electronic total energy (eV/atom): -6.451
Spin magnetization (μB/cell): 0.00